# Ga2BiSe4

Ga2BiSe4 after structural relaxation (PBE-GGA, the Alexandria database).

Structure (POSCAR):
```
Ga2BiSe4
1.0
7.9326 0.0000 0.0000
0.0000 7.9326 0.0000
0.0000 0.0000 6.4300
Ga Bi Se
4 2 8
Cartesian
0.0000 3.9663 1.6075 Ga
0.0000 3.9663 4.8225 Ga
3.9663 0.0000 1.6075 Ga
3.9663 0.0000 4.8225 Ga
0.0000 0.0000 0.0000 Bi
3.9663 3.9663 3.2150 Bi
1.2960 2.6289 3.2150 Se
1.3374 5.2622 0.0000 Se
2.6289 6.6366 3.2150 Se
2.6703 1.3374 0.0000 Se
5.2622 6.5952 0.0000 Se
5.3037 1.2960 3.2150 Se
6.5952 2.6703 0.0000 Se
6.6366 5.3037 3.2150 Se
```

Properties
Formation energy without anion corrections   -445.6 meV per atom
Total energy   -53.98 eV for the cell shown